# BeSbIr4 PBE-GGA optimized geometry
# * formation energy without anion corrections: 0.532 eV per atom
# * space-group type: No. 216
# * total magnetization: 0.00 μB/f.u.
# * E: -6.68 eV/atom
data_BeSbIr4
_symmetry_space_group_name_H-M 'P 1'
_symmetry_Int_Tables_number 1
_cell_length_a 5.235
_cell_length_b 5.235
_cell_length_c 5.235
_cell_angle_alpha 60.00
_cell_angle_beta 60.00
_cell_angle_gamma 60.00
loop_
_symmetry_equiv_pos_as_xyz
'x,y,z'
loop_
_atom_site_label
_atom_site_fract_x
_atom_site_fract_y
_atom_site_fract_z
Ir1 0.375 0.375 0.876
Ir2 0.375 0.375 0.375
Ir3 0.876 0.375 0.375
Ir4 0.375 0.876 0.375
Sb1 0.750 0.750 0.750
Be1 0.000 0.000 0.000

# BeSbIr2 PBE-GGA optimized geometry
# * formation energy without anion corrections: -0.012 eV per atom
# * space-group type: No. 44
# * relative energy among the computed polymorphs: 0.038 eV/atom
# * total magnetization: 0.00 μB/f.u.
# * E: -6.40 eV/atom
data_BeSbIr2
_symmetry_space_group_name_H-M 'P 1'
_symmetry_Int_Tables_number 1
_cell_length_a 6.024
_cell_length_b 6.024
_cell_length_c 6.024
_cell_angle_alpha 150.83
_cell_angle_beta 144.77
_cell_angle_gamma 46.37
loop_
_symmetry_equiv_pos_as_xyz
'x,y,z'
loop_
_atom_site_label
_atom_site_fract_x
_atom_site_fract_y
_atom_site_fract_z
Ir1 0.065 0.065 0.000
Ir2 0.767 0.267 0.500
Sb1 0.447 0.447 0.000
Be1 0.222 0.722 0.500

# Be2SbIr PBE-GGA optimized geometry
# * formation energy without anion corrections: 0.160 eV per atom
# * space-group type: No. 139
# * total magnetization: 0.00 μB/f.u.
# * E: -4.95 eV/atom
data_Be2SbIr
_symmetry_space_group_name_H-M 'P 1'
_symmetry_Int_Tables_number 1
_cell_length_a 4.582
_cell_length_b 4.582
_cell_length_c 4.582
_cell_angle_alpha 130.35
_cell_angle_beta 130.34
_cell_angle_gamma 72.86
loop_
_symmetry_equiv_pos_as_xyz
'x,y,z'
loop_
_atom_site_label
_atom_site_fract_x
_atom_site_fract_y
_atom_site_fract_z
Ir1 0.750 0.250 0.500
Sb1 0.250 0.750 0.500
Be1 0.000 0.000 0.000
Be2 0.500 0.500 0.000

Please write out number 1 again, unchanged.
# BeSbIr4 PBE-GGA optimized geometry
# * formation energy without anion corrections: 0.532 eV per atom
# * space-group type: No. 216
# * total magnetization: 0.00 μB/f.u.
# * E: -6.68 eV/atom
data_BeSbIr4
_symmetry_space_group_name_H-M 'P 1'
_symmetry_Int_Tables_number 1
_cell_length_a 5.235
_cell_length_b 5.235
_cell_length_c 5.235
_cell_angle_alpha 60.00
_cell_angle_beta 60.00
_cell_angle_gamma 60.00
loop_
_symmetry_equiv_pos_as_xyz
'x,y,z'
loop_
_atom_site_label
_atom_site_fract_x
_atom_site_fract_y
_atom_site_fract_z
Ir1 0.375 0.375 0.876
Ir2 0.375 0.375 0.375
Ir3 0.876 0.375 0.375
Ir4 0.375 0.876 0.375
Sb1 0.750 0.750 0.750
Be1 0.000 0.000 0.000

Q: What is the E in the second record?
A: -6.40 eV/atom

Q: Which value of formation energy without anion corrections does entry 3 give?
A: 0.160 eV per atom

Q: The highest formation energy without anion corrections belongs to which entry?
A: BeSbIr4